Below is Cs9Rb3S2 after structural relaxation, with properties calculated at the PBE level.

```
Cs9Rb3S2
1.0
13.5462 0.1070 1.3284
1.2148 13.4920 1.3284
0.1161 0.1070 13.6106
Rb Cs S
6 18 4
direct
0.4090 0.7500 0.0910 Rb
0.9090 0.5910 0.2500 Rb
0.0910 0.4090 0.7500 Rb
0.2500 0.9090 0.5910 Rb
0.5910 0.2500 0.9090 Rb
0.7500 0.0910 0.4090 Rb
0.5607 0.4111 0.2491 Cs
0.5889 0.7509 0.4393 Cs
0.7509 0.4393 0.5889 Cs
0.4393 0.5889 0.7509 Cs
0.1117 0.2500 0.3883 Cs
0.8883 0.7500 0.6117 Cs
0.9111 0.0607 0.7491 Cs
0.2509 0.0889 0.9393 Cs
0.7491 0.9111 0.0607 Cs
0.0607 0.7491 0.9111 Cs
0.0889 0.9393 0.2509 Cs
0.7500 0.6117 0.8883 Cs
0.2500 0.3883 0.1117 Cs
0.6117 0.8883 0.7500 Cs
0.2491 0.5607 0.4111 Cs
0.3883 0.1117 0.2500 Cs
0.9393 0.2509 0.0889 Cs
0.4111 0.2491 0.5607 Cs
0.3399 0.3399 0.3399 S
0.8399 0.8399 0.8399 S
0.1601 0.1601 0.1601 S
0.6601 0.6601 0.6601 S
```

Results
Uncorrected formation energy in eV/atom: -0.4220
DOS at the Fermi energy in states/eV/cell: 15.6
Symmetry: No. 167
Magnetic moment in μB/cell: 0.00

Below is Cs2RbS2 after structural relaxation, with properties calculated at the PBE level.

```
Cs2RbS2
1.0
8.9409 0.0000 0.0000
0.0000 8.9409 0.0000
0.0000 0.0000 4.9623
S Cs Rb
4 4 2
direct
0.8586 0.3586 0.0000 S
0.1414 0.6414 0.0000 S
0.6414 0.8586 0.0000 S
0.3586 0.1414 0.0000 S
0.3515 0.8515 0.5000 Cs
0.1485 0.3515 0.5000 Cs
0.8515 0.6485 0.5000 Cs
0.6485 0.1485 0.5000 Cs
0.5000 0.5000 0.0000 Rb
0.0000 0.0000 0.0000 Rb
```

Results
Uncorrected formation energy in eV/atom: -0.7639
Offset from the most stable computed form in eV per formula unit: 0.00
Symmetry: No. 127
Magnetic moment in μB/cell: 2.10

Below is CsRb14S after structural relaxation, with properties calculated at the PBE level.

```
CsRb14S
1.0
-7.5664 -7.1982 -0.8347
6.8532 -3.6052 -7.0567
5.5304 -6.8415 8.8662
Rb Cs S
14 1 1
direct
0.6394 0.9143 0.5000 Rb
0.4707 0.2071 0.6709 Rb
0.6150 0.9019 0.0000 Rb
0.0981 0.3850 0.0000 Rb
0.1105 0.8895 0.0000 Rb
0.8689 0.1311 0.7284 Rb
0.7929 0.5293 0.6709 Rb
0.6024 0.3976 0.0000 Rb
0.0857 0.3606 0.5000 Rb
0.4707 0.2071 0.3291 Rb
0.8689 0.1311 0.2716 Rb
0.3553 0.6447 0.2550 Rb
0.7929 0.5293 0.3291 Rb
0.3553 0.6447 0.7450 Rb
0.1224 0.8776 0.5000 Cs
0.7510 0.2490 0.5000 S
```

Results
Uncorrected formation energy in eV/atom: -0.1253
DOS at the Fermi energy in states/eV/cell: 11.4
Symmetry: No. 38
Magnetic moment in μB/cell: 0.00

Below is CsRb3S2 after structural relaxation, with properties calculated at the PBE level.

```
CsRb3S2
1.0
-0.4946 -3.2554 -4.0569
8.5297 -0.0112 -1.0309
0.7428 -7.8777 6.2307
S Cs Rb
4 2 6
direct
0.0000 0.2445 0.6438 S
0.0000 0.7445 0.3562 S
0.5000 0.7551 0.8621 S
0.5000 0.2551 0.1379 S
0.5000 0.0233 0.4229 Cs
0.5000 0.5233 0.5771 Cs
0.0000 0.8547 0.6774 Rb
0.5000 0.6442 0.1727 Rb
0.0000 0.3547 0.3226 Rb
0.0000 0.9783 0.0810 Rb
0.5000 0.1442 0.8273 Rb
0.0000 0.4783 0.9190 Rb
```

Results
Uncorrected formation energy in eV/atom: -0.9851
DOS at the Fermi energy in states/eV/cell: 0.0
Symmetry: No. 26
Magnetic moment in μB/cell: 0.00